{"formula": "K2SrCd10", "functional": "PBE", "state": "relaxed", "magmom_total_mub_per_cell": 0.00, "e_tot_ev_per_atom": -1.020, "dos_ef_per_ev_cell": 13.2, "lattice": [[6.8090, 0.0000, 0.0000], [0.0000, 21.0372, 0.0000], [0.0000, 0.0000, 6.2675]], "species": ["K", "K", "K", "K", "Sr", "Sr", "Cd", "Cd", "Cd", "Cd", "Cd", "Cd", "Cd", "Cd", "Cd", "Cd", "Cd", "Cd", "Cd", "Cd", "Cd", "Cd", "Cd", "Cd", "Cd", "Cd"], "frac_coords": [[0.1772, 0.1792, 0.0000], [0.3228, 0.6792, 0.0000], [0.6772, 0.3208, 0.0000], [0.8228, 0.8208, 0.0000], [0.0000, 0.5000, 0.5000], [0.5000, 0.0000, 0.5000], [0.0210, 0.9322, 0.5000], [0.0304, 0.7724, 0.5000], [0.1783, 0.6450, 0.5000], [0.1848, 0.3570, 0.2345], [0.1848, 0.3570, 0.7655], [0.3152, 0.8570, 0.2345], [0.3152, 0.8570, 0.7655], [0.3217, 0.1450, 0.5000], [0.4696, 0.2724, 0.5000], [0.4790, 0.4322, 0.5000], [0.5210, 0.5678, 0.5000], [0.5304, 0.7276, 0.5000], [0.6783, 0.8550, 0.5000], [0.6848, 0.1430, 0.2345], [0.6848, 0.1430, 0.7655], [0.8152, 0.6430, 0.2345], [0.8152, 0.6430, 0.7655], [0.8217, 0.3550, 0.5000], [0.9696, 0.2276, 0.5000], [0.9790, 0.0678, 0.5000]]}